Record 1
A relaxed CdInPd2 crystal. Source: Alexandria, functional GGA-PBEsol.

Spin magnetization in μB per cell: 0.000
Total energy in hartree per atom: -0.166
Energy of formation in kJ/mol of formula units: -190

a = 6.4444 Å, b = 6.4444 Å, c = 6.4444 Å
α = 90.00°, β = 90.00°, γ = 90.00°
Fractional positions:
Cd (0.0000, 0.0000, 0.0000)
Cd (0.0000, 0.5000, 0.5000)
Cd (0.5000, 0.0000, 0.5000)
Cd (0.5000, 0.5000, 0.0000)
In (0.0000, 0.0000, 0.5000)
In (0.0000, 0.5000, 0.0000)
In (0.5000, 0.0000, 0.0000)
In (0.5000, 0.5000, 0.5000)
Pd (0.2500, 0.2500, 0.2500)
Pd (0.2500, 0.2500, 0.7500)
Pd (0.2500, 0.7500, 0.2500)
Pd (0.2500, 0.7500, 0.7500)
Pd (0.7500, 0.2500, 0.2500)
Pd (0.7500, 0.2500, 0.7500)
Pd (0.7500, 0.7500, 0.2500)
Pd (0.7500, 0.7500, 0.7500)



Record 2
A relaxed In2SiOs crystal. Source: Alexandria, functional GGA-PBEsol.

Spin magnetization in μB per cell: 0.000
Total energy in hartree per atom: -0.196
ΔE_f (raw) in eV per atom: 0.645

a = 5.5173 Å, b = 9.2256 Å, c = 3.2102 Å
α = 90.00°, β = 119.27°, γ = 90.00°
Fractional positions:
In (0.2500, 0.2500, 0.0000)
In (0.2500, 0.7500, 0.0000)
In (0.7500, 0.2500, 0.0000)
In (0.7500, 0.7500, 0.0000)
Si (0.0000, 0.0000, 0.5000)
Si (0.5000, 0.5000, 0.5000)
Os (0.0000, 0.5000, 0.5000)
Os (0.5000, 0.0000, 0.5000)



Record 3
A relaxed K2NaSbF6 crystal. Source: Alexandria, functional GGA-PBEsol.

Spin magnetization in μB per cell: 0.000
Total energy in hartree per atom: -0.169
ΔE_f (raw) in eV per atom: -2.609

a = 6.2124 Å, b = 6.2124 Å, c = 6.2124 Å
α = 60.00°, β = 60.00°, γ = 60.00°
Fractional positions:
K (0.2500, 0.2500, 0.2500)
K (0.7500, 0.7500, 0.7500)
Na (0.0000, 0.0000, 0.0000)
Sb (0.5000, 0.5000, 0.5000)
F (0.2530, 0.2530, 0.7470)
F (0.2530, 0.7470, 0.2530)
F (0.2530, 0.7470, 0.7470)
F (0.7470, 0.2530, 0.2530)
F (0.7470, 0.2530, 0.7470)
F (0.7470, 0.7470, 0.2530)



Record 4
A relaxed MnV2Cr crystal. Source: Alexandria, functional GGA-PBEsol.

Spin magnetization in μB per cell: 0.000
Total energy in hartree per atom: -0.368
Energy of formation in kJ/mol of formula units: -76

a = 5.7111 Å, b = 5.7111 Å, c = 5.7111 Å
α = 90.00°, β = 90.00°, γ = 90.00°
Fractional positions:
Mn (0.0000, 0.0000, 0.0000)
Mn (0.0000, 0.5000, 0.5000)
Mn (0.5000, 0.0000, 0.5000)
Mn (0.5000, 0.5000, 0.0000)
V (0.2500, 0.2500, 0.2500)
V (0.2500, 0.2500, 0.7500)
V (0.2500, 0.7500, 0.2500)
V (0.2500, 0.7500, 0.7500)
V (0.7500, 0.2500, 0.2500)
V (0.7500, 0.2500, 0.7500)
V (0.7500, 0.7500, 0.2500)
V (0.7500, 0.7500, 0.7500)
Cr (0.0000, 0.0000, 0.5000)
Cr (0.0000, 0.5000, 0.0000)
Cr (0.5000, 0.0000, 0.0000)
Cr (0.5000, 0.5000, 0.5000)



Record 5
A relaxed LiYReTc2 crystal. Source: Alexandria, functional GGA-PBEsol.

Spin magnetization in μB per cell: 1.131
Total energy in hartree per atom: -0.287
Energy of formation in kJ/mol of formula units: 545

a = 4.6649 Å, b = 4.6649 Å, c = 5.3006 Å
α = 90.00°, β = 90.00°, γ = 90.00°
Fractional positions:
Li (0.0000, 0.0000, 0.0000)
Y (0.5000, 0.5000, 0.0000)
Re (0.5000, 0.5000, 0.5000)
Tc (0.0000, 0.5000, 0.5000)
Tc (0.5000, 0.0000, 0.5000)



Record 6
A relaxed K2CoNi crystal. Source: Alexandria, functional GGA-PBEsol.

Spin magnetization in μB per cell: 3.836
Total energy in hartree per atom: -0.126
Energy above the lowest structure with this stoichiometry in eV per formula unit: 0.000
Energy of formation in kJ/mol of formula units: 236

a = 6.6895 Å, b = 3.8612 Å, c = 9.4848 Å
α = 90.00°, β = 102.70°, γ = 90.00°
Fractional positions:
K (0.0000, 0.0000, 0.0000)
K (0.1622, 0.0000, 0.5205)
K (0.5000, 0.5000, 0.0000)
K (0.6622, 0.5000, 0.5205)
Co (0.2478, 0.5000, 0.2603)
Co (0.7478, 0.0000, 0.2603)
Ni (0.4145, 0.0000, 0.2602)
Ni (0.9145, 0.5000, 0.2602)



Record 7
A relaxed Mn2FeO3 crystal. Source: Alexandria, functional GGA-PBEsol.

Spin magnetization in μB per cell: 25.235
Total energy in hartree per atom: -0.309
ΔE_f (raw) in eV per atom: -1.023

a = 5.2717 Å, b = 3.0274 Å, c = 7.4283 Å
α = 90.00°, β = 90.29°, γ = 90.00°
Fractional positions:
Mn (0.0000, 0.0000, 0.0000)
Mn (0.1708, 0.5000, 0.3386)
Mn (0.5000, 0.5000, 0.0000)
Mn (0.8292, 0.5000, 0.6614)
Fe (0.3338, 0.0000, 0.6666)
Fe (0.6662, 0.0000, 0.3334)
O (0.0000, 0.0000, 0.5000)
O (0.1647, 0.5000, 0.8298)
O (0.3334, 0.0000, 0.1674)
O (0.5000, 0.5000, 0.5000)
O (0.6666, 0.0000, 0.8326)
O (0.8353, 0.5000, 0.1702)



Record 8
A relaxed KIn2Ag crystal. Source: Alexandria, functional GGA-PBEsol.

Spin magnetization in μB per cell: 0.000
Total energy in hartree per atom: -0.091
Energy of formation in kJ/mol of formula units: 53

a = 4.4874 Å, b = 4.6029 Å, c = 4.9569 Å
α = 90.00°, β = 90.00°, γ = 90.00°
Fractional positions:
K (0.0000, 0.0000, 0.0000)
In (0.0000, 0.5000, 0.5000)
In (0.5000, 0.0000, 0.5000)
Ag (0.5000, 0.5000, 0.0000)



Record 9
A relaxed LaIn2Rh crystal. Source: Alexandria, functional GGA-PBEsol.

Spin magnetization in μB per cell: 0.000
Total energy in hartree per atom: -0.194
Energy of formation in kJ/mol of formula units: -156

a = 3.3063 Å, b = 4.9913 Å, c = 10.9685 Å
α = 90.00°, β = 90.00°, γ = 90.00°
Fractional positions:
La (0.0000, 0.0000, 0.0000)
La (0.5000, 0.5000, 0.5000)
In (0.0000, 0.5000, 0.2076)
In (0.0000, 0.5000, 0.7924)
In (0.5000, 0.0000, 0.2924)
In (0.5000, 0.0000, 0.7076)
Rh (0.0000, 0.0000, 0.5000)
Rh (0.5000, 0.5000, 0.0000)



Record 10
A relaxed Re2PbCS crystal. Source: Alexandria, functional GGA-PBEsol.

Spin magnetization in μB per cell: 4.556
Total energy in hartree per atom: -0.196
ΔE_f (raw) in eV per atom: 3.612

a = 5.1290 Å, b = 5.1290 Å, c = 4.1490 Å
α = 90.00°, β = 90.00°, γ = 90.00°
Fractional positions:
Re (0.0000, 0.5000, 0.0000)
Re (0.5000, 0.0000, 0.0000)
Pb (0.0000, 0.0000, 0.0000)
C (0.0000, 0.0000, 0.5000)
S (0.5000, 0.5000, 0.5000)



Record 11
A relaxed CaMg2Zn3 crystal. Source: Alexandria, functional GGA-PBEsol.

Spin magnetization in μB per cell: 0.001
Total energy in hartree per atom: -0.067
Energy above the lowest structure with this stoichiometry in eV per formula unit: 0.130
Energy of formation in kJ/mol of formula units: -68

a = 6.6211 Å, b = 6.6211 Å, c = 5.9303 Å
α = 90.00°, β = 90.00°, γ = 73.82°
Fractional positions:
Ca (0.1660, 0.8340, 0.7500)
Ca (0.8340, 0.1660, 0.2500)
Mg (0.2845, 0.2845, 0.0000)
Mg (0.2845, 0.2845, 0.5000)
Mg (0.7155, 0.7155, 0.0000)
Mg (0.7155, 0.7155, 0.5000)
Zn (0.0691, 0.6746, 0.2500)
Zn (0.3254, 0.9309, 0.2500)
Zn (0.4556, 0.5444, 0.2500)
Zn (0.5444, 0.4556, 0.7500)
Zn (0.6746, 0.0691, 0.7500)
Zn (0.9309, 0.3254, 0.7500)



Record 12
A relaxed SrReAu4 crystal. Source: Alexandria, functional GGA-PBEsol.

Spin magnetization in μB per cell: 3.211
Total energy in hartree per atom: -0.175
Energy of formation in kJ/mol of formula units: 221

a = 5.4903 Å, b = 5.4903 Å, c = 5.4903 Å
α = 60.00°, β = 60.00°, γ = 60.00°
Fractional positions:
Sr (0.0000, 0.0000, 0.0000)
Re (0.7500, 0.7500, 0.7500)
Au (0.3755, 0.3755, 0.3755)
Au (0.3755, 0.3755, 0.8736)
Au (0.3755, 0.8736, 0.3755)
Au (0.8736, 0.3755, 0.3755)



Which value of spin magnetization does entry 3 give? 0.000 μB per cell